Record 1
BeCdTc2, relaxed, DFT PBE; ΔE to the lowest computed polymorph = 125 meV/atom; density of states at the Fermi level = 2.59 states/eV/cell; M_tot = 0.0 μB per formula unit
1.0
-1.051 1.541 -2.329
-1.378 -2.451 -1.000
-5.345 1.590 3.465
Be Tc Cd
1 2 1
Direct
0.500 0.500 0.250
0.000 0.000 0.071
0.000 0.000 0.429
0.500 0.500 0.750

=====

Record 2
BeCd2Tc, relaxed, DFT PBE; density of states at the Fermi level = 3.50 states/eV/cell; M_tot = 0.0 μB per formula unit
1.0
3.788 0.000 0.000
0.000 3.788 0.000
1.894 1.894 9.697
Be Tc Cd
2 2 4
Direct
0.500 0.500 0.000
0.250 0.750 0.500
0.000 0.000 0.000
0.750 0.250 0.500
0.622 0.125 0.250
0.128 0.625 0.250
0.375 0.378 0.750
0.875 0.872 0.750

=====

Record 3
BeCdTc2, relaxed, DFT PBE; ΔE to the lowest computed polymorph = 0 meV/atom; density of states at the Fermi level = 2.51 states/eV/cell; M_tot = 0.0 μB per formula unit
1.0
-1.424 2.421 -0.961
-1.693 -1.693 -1.755
-4.453 -0.661 4.933
Be Tc Cd
1 2 1
Direct
0.000 0.000 0.457
0.000 0.000 0.048
0.500 0.500 0.268
0.500 0.500 0.727

=====

Record 4
BeCdTc2, relaxed, DFT PBE; ΔE to the lowest computed polymorph = 592 meV/atom; density of states at the Fermi level = 4.98 states/eV/cell; M_tot = 0.0 μB per formula unit
1.0
3.721 0.000 0.000
0.000 3.721 0.000
1.861 1.861 9.358
Be Tc Cd
2 4 2
Direct
0.500 0.500 0.000
0.250 0.750 0.500
0.569 0.125 0.250
0.181 0.625 0.250
0.375 0.431 0.750
0.875 0.819 0.750
0.000 0.000 0.000
0.750 0.250 0.500

=====

Record 5
BeCdTc2, relaxed, DFT PBE; ΔE to the lowest computed polymorph = 363 meV/atom; density of states at the Fermi level = 2.81 states/eV/cell; M_tot = 0.0 μB per formula unit
1.0
-2.412 0.195 -2.041
-0.511 -4.150 0.207
-2.824 0.517 3.386
Be Tc Cd
1 2 1
Direct
0.500 0.000 0.500
0.000 0.000 0.000
0.500 0.500 0.000
0.000 0.500 0.500

=====

Record 6
BeCdTc2, relaxed, DFT PBE; ΔE to the lowest computed polymorph = 238 meV/atom; density of states at the Fermi level = 2.54 states/eV/cell; M_tot = 0.0 μB per formula unit
1.0
2.691 0.000 0.000
-0.690 2.601 0.000
0.000 0.000 8.204
Be Tc Cd
1 2 1
Direct
0.500 0.500 0.250
0.000 0.000 0.046
0.000 0.000 0.454
0.500 0.500 0.750

=====

Ordered final energy results: -24.6, -25.7, -25.1, -45.5, -23.7, -24.2; unit eV for the cell shown.